Below is a geometry-optimized TaReSe structure, with properties calculated at the PBE level.

Calculated values
**D(E_F)**: 1.28 states/eV per cell
**Polymorph energy (0 for the lowest one)**: 5.275 kcal/mol of atoms
**Formation energy from raw total energies**: 29.5 kJ per mole of atoms
**Mass density**: 14.70 g cm⁻³
**Total DFT energy (no corrections)**: -8.9556 eV/atom

```
data_TaReSe
_symmetry_space_group_name_H-M 'P 1'
_symmetry_Int_Tables_number 1
_symmetry_space_group_name_Hall 'P 1'
_cell_length_a 4.690
_cell_length_b 4.690
_cell_length_c 4.690
_cell_angle_alpha 141.62
_cell_angle_beta 126.94
_cell_angle_gamma 67.36
loop_
_atom_site_label
_atom_site_type_symbol
_atom_site_fract_x
_atom_site_fract_y
_atom_site_fract_z
Se1 Se 0.332 0.332 0.000
Re1 Re 0.007 0.007 0.000
Ta1 Ta 0.661 0.661 0.000
```